# 1
NaTl2WO4 | PBE with a Hubbard U | optimized geometry

Geometry as CIF:
```
data_NaTl2WO4
_chemical_formula_sum 'Na1 Tl2 W1 O4'
_cell_length_a 6.125
_cell_length_b 6.156
_cell_length_c 6.388
_cell_angle_alpha 116.88
_cell_angle_beta 115.17
_cell_angle_gamma 94.16
_space_group_name_H-M_alt 'P 1'
_space_group_IT_number 1
_space_group_name_Hall 'P 1'
loop_
_atom_site_label
_atom_site_fract_x
_atom_site_fract_y
_atom_site_fract_z
Na1 0.000 0.000 0.000
Tl1 0.567 0.712 0.115
Tl2 0.636 0.297 0.599
W1 0.245 0.739 0.511
O1 0.065 0.703 0.664
O2 0.100 0.893 0.325
O3 0.245 0.426 0.279
O4 0.572 0.945 0.785
```



# 2
Ba3PaMn2O9 | PBE with a Hubbard U | optimized geometry

Geometry as CIF:
```
data_Ba3PaMn2O9
_chemical_formula_sum 'Ba3 Pa1 Mn2 O9'
_cell_length_a 5.8624
_cell_length_b 5.8624
_cell_length_c 7.2729
_cell_angle_alpha 90.00
_cell_angle_beta 90.00
_cell_angle_gamma 120.00
_space_group_name_H-M_alt 'P -3 m 1'
_space_group_IT_number 164
_space_group_name_Hall '-P 3 2"'
loop_
_atom_site_label
_atom_site_fract_x
_atom_site_fract_y
_atom_site_fract_z
Ba1 0.0000 0.0000 0.0000
Ba2 0.3333 0.6667 0.6926
Pa1 0.0000 0.0000 0.5000
Mn1 0.3333 0.6667 0.1566
O1 0.0000 0.5000 0.0000
O2 0.1717 0.3433 0.3238
```



no.,electronic total energy (eV for the cell shown),volume (Å³/atom)
1,-44.49,23.0
2,-113.20,14.4